Record 1
Below is a PBEsol-optimized structure of Zr2NbAlTe, with properties calculated at the meta-GGA SCAN level.

Cell lengths 4.9818, 4.9818, 4.6710 Å; angles 90.00, 90.00, 90.00 degrees
Space group P4/mmm (No. 123)
Unique sites:
Zr (0.0000, 0.5000, 0.0000)
Nb (0.0000, 0.0000, 0.5000)
Al (0.0000, 0.0000, 0.0000)
Te (0.5000, 0.5000, 0.5000)

Formation energy without anion corrections: 570 meV per atom
Uncorrected energy: -136.7 eV per cell
D(E_F): 5.15 states/eV per cell


Record 2
Below is a PBEsol-optimized structure of BeZn2Hg, with properties calculated at the meta-GGA SCAN level.

Cell lengths 2.7682, 2.7682, 7.8492 Å; angles 90.00, 90.00, 90.00 degrees
Space group P4/mmm (No. 123)
Unique sites:
Be (0.0000, 0.0000, 0.0000)
Zn (0.5000, 0.5000, 0.1909)
Hg (0.0000, 0.0000, 0.5000)

Uncorrected energy: -98.7 eV per cell
ΔH_f (0 K): 0.8 eV/f.u.
D(E_F): 0.95 states/eV per cell
Energy relative to the lowest polymorph listed for this composition: 0.000 eV per atom


Record 3
Below is a PBEsol-optimized structure of Tc3SbAu, with properties calculated at the meta-GGA SCAN level.

Cell lengths 4.7954, 4.7954, 4.7954 Å; angles 90.00, 90.00, 90.00 degrees
Space group Pm-3m (No. 221)
Unique sites:
Tc (0.0000, 0.0000, 0.5000)
Sb (0.5000, 0.5000, 0.5000)
Au (0.0000, 0.0000, 0.0000)

Formation energy without anion corrections: 1945 meV per atom
Uncorrected energy: -201.9 eV per cell
D(E_F): 5.48 states/eV per cell


Record 4
Below is a PBEsol-optimized structure of AlAg5, with properties calculated at the meta-GGA SCAN level.

Cell lengths 4.9248, 4.9248, 4.6418 Å; angles 90.00, 90.00, 120.00 degrees
Space group P-62m (No. 189)
Unique sites:
Al (0.0000, 0.0000, 0.0000)
Ag (0.0000, 0.6732, 0.5000)
Ag (0.3333, 0.6667, 0.0000)

Uncorrected energy: -165.0 eV per cell
ΔH_f (0 K): -0.4 eV/f.u.
D(E_F): 1.28 states/eV per cell
Energy relative to the lowest polymorph listed for this composition: 0.000 eV per atom


Record 5
Below is a PBEsol-optimized structure of CuOs2Se, with properties calculated at the meta-GGA SCAN level.

Cell lengths 2.8627, 4.3356, 9.2282 Å; angles 90.00, 90.00, 90.00 degrees
Space group Imm2 (No. 44)
Unique sites:
Cu (0.0000, 0.0000, 0.0000)
Os (0.0000, 0.0000, 0.5160)
Os (0.0000, 0.5000, 0.7781)
Se (0.0000, 0.5000, 0.2399)

Formation energy without anion corrections: 774 meV per atom
Uncorrected energy: -351.9 eV per cell
D(E_F): 8.03 states/eV per cell


Record 6
Below is a PBEsol-optimized structure of AlIn2Cl, with properties calculated at the meta-GGA SCAN level.

Cell lengths 3.2704, 3.2704, 8.3925 Å; angles 90.00, 90.00, 90.00 degrees
Space group P4/mmm (No. 123)
Unique sites:
Al (0.0000, 0.0000, 0.0000)
In (0.5000, 0.5000, 0.2447)
Cl (0.0000, 0.0000, 0.5000)

Formation energy without anion corrections: -124 meV per atom
Uncorrected energy: -83.0 eV per cell
D(E_F): 2.11 states/eV per cell
Energy relative to the lowest polymorph listed for this composition: 0.170 eV per atom


The highest uncorrected energy belongs to which entry?
AlIn2Cl